[1]
HfH2F8: optimized geometry, PBE.

Electronic total energy = -5.0138 eV per atom
Excess energy over the best structure of this formula in the dataset = 10 meV per atom
Volume = 13.85 Å³ per atom

```
HfH2F8
1.0
4.468 0.000 0.000
1.240 5.726 0.000
1.422 0.153 5.957
Hf H F
1 2 8
direct
0.000 0.000 0.000
0.132 0.719 0.469
0.868 0.281 0.531
0.096 0.867 0.291
0.143 0.608 0.604
0.291 0.220 0.973
0.368 0.761 0.815
0.632 0.239 0.185
0.709 0.780 0.027
0.857 0.392 0.396
0.904 0.133 0.709
```

[2]
HfHF6: optimized geometry, PBE.

Electronic total energy = -5.6920 eV per atom
Volume = 13.06 Å³ per atom

```
HfHF6
1.0
4.716 0.000 0.000
-0.364 4.979 0.000
-1.186 -2.411 4.450
Hf H F
1 1 6
direct
0.000 0.000 0.000
0.500 0.500 0.500
0.188 0.660 0.052
0.277 0.333 0.401
0.282 0.026 0.784
0.718 0.974 0.216
0.723 0.667 0.599
0.812 0.340 0.948
```

[3]
HfH2IrF: optimized geometry, PBE.

Electronic total energy = -6.0731 eV per atom
Volume = 11.94 Å³ per atom

```
HfH2IrF
1.0
3.401 0.000 0.000
0.000 3.401 0.000
0.000 0.000 5.162
Hf H Ir F
1 2 1 1
direct
0.000 0.000 0.000
0.000 0.500 0.500
0.500 0.000 0.500
0.000 0.000 0.500
0.500 0.500 0.000
```

[4]
LiHfHF2: optimized geometry, PBE.

Electronic total energy = -4.6955 eV per atom
Volume = 11.82 Å³ per atom

```
LiHfHF2
1.0
3.406 0.000 0.000
0.000 3.406 0.000
0.000 0.000 5.094
Li Hf H F
1 1 1 2
direct
0.000 0.000 0.000
0.000 0.000 0.500
0.500 0.500 0.500
0.000 0.500 0.000
0.500 0.000 0.000
```

[5]
HfHNF2: optimized geometry, PBE.

Electronic total energy = -6.3193 eV per atom
Excess energy over the best structure of this formula in the dataset = 114 meV per atom
Volume = 8.67 Å³ per atom

```
HfHNF2
1.0
3.143 0.000 0.000
0.000 3.143 0.000
0.000 0.000 4.388
Hf H N F
1 1 1 2
direct
0.000 0.000 0.000
0.500 0.500 0.500
0.500 0.500 0.000
0.000 0.500 0.500
0.500 0.000 0.500
```

[6]
HfHNF2: optimized geometry, PBE.

Electronic total energy = -6.4333 eV per atom
Excess energy over the best structure of this formula in the dataset = 0 meV per atom
Volume = 14.28 Å³ per atom

```
HfHNF2
1.0
4.148 0.000 0.000
0.000 4.148 0.000
0.000 0.000 4.149
Hf H N F
1 1 1 2
direct
0.000 0.000 0.000
0.500 0.500 0.500
0.000 0.000 0.500
0.000 0.500 0.000
0.500 0.000 0.000
```

| no. | theoretical density (g/cm3) |
| --- | --- |
| 1 | 3.62 |
| 2 | 4.66 |
| 3 | 10.89 |
| 4 | 6.31 |
| 5 | 8.87 |
| 6 | 5.38 |